Record 1
HfTcAg | OQMD via LeMat-Bulk | GGA-PBE | relaxed; total moment = 0.04 μB per cell; calculated total energy = -6.897 eV per atom; ΔH_f (0 K) = 0.82 eV/atom; E above lowest polymorph = 93 meV per atom
1.0
6.2703 0.0000 0.0000
0.0000 6.2703 0.0000
0.0000 0.0000 6.2703
Hf Tc Ag
4 4 4
Direct
0.0000 0.0000 0.0000
0.0000 0.5000 0.5000
0.5000 0.0000 0.5000
0.5000 0.5000 0.0000
0.2500 0.2500 0.2500
0.2500 0.7500 0.7500
0.7500 0.2500 0.7500
0.7500 0.7500 0.2500
0.2500 0.2500 0.7500
0.2500 0.7500 0.2500
0.7500 0.2500 0.2500
0.7500 0.7500 0.7500

---

Record 2
GdErZn | OQMD via LeMat-Bulk | GGA-PBE | relaxed; total moment = 0.02 μB per cell; calculated total energy = -3.475 eV per atom; ΔH_f (0 K) = 0.02 eV/atom
1.0
6.9720 0.0000 0.0000
0.0000 6.9720 0.0000
0.0000 0.0000 6.9720
Gd Er Zn
4 4 4
Direct
0.0000 0.0000 0.0000
0.0000 0.5000 0.5000
0.5000 0.0000 0.5000
0.5000 0.5000 0.0000
0.0000 0.0000 0.5000
0.0000 0.5000 0.0000
0.5000 0.0000 0.0000
0.5000 0.5000 0.5000
0.2500 0.2500 0.7500
0.2500 0.7500 0.2500
0.7500 0.2500 0.2500
0.7500 0.7500 0.7500

---

Record 3
Cs2Te2PtS | OQMD via LeMat-Bulk | GGA-PBE | relaxed; total moment = 0.00 μB per cell; calculated total energy = -3.604 eV per atom
1.0
6.9301 -3.7958 0.0000
6.9301 3.7958 0.0000
-4.1764 0.0000 9.3728
Cs Te Pt S
4 4 2 2
Direct
0.0810 0.0810 0.3373
0.3080 0.3080 0.1572
0.6920 0.6920 0.8428
0.9190 0.9190 0.6627
0.2147 0.2147 0.7421
0.3852 0.3852 0.5906
0.6148 0.6148 0.4094
0.7853 0.7853 0.2579
0.4219 0.4219 0.8619
0.5781 0.5781 0.1381
0.2578 0.7422 0.0000
0.7422 0.2578 0.0000

---

Record 4
CoHgAsAu | OQMD via LeMat-Bulk | GGA-PBE | relaxed; total moment = 4.31 μB per cell; calculated total energy = -3.368 eV per atom; E above lowest polymorph = 0 meV per atom
1.0
6.5454 0.0000 0.0000
0.0000 6.5454 0.0000
0.0000 0.0000 6.5454
Co Hg As Au
4 4 4 4
Direct
0.0000 0.0000 0.0000
0.0000 0.5000 0.5000
0.5000 0.0000 0.5000
0.5000 0.5000 0.0000
0.2500 0.2500 0.2500
0.2500 0.7500 0.7500
0.7500 0.2500 0.7500
0.7500 0.7500 0.2500
0.2500 0.2500 0.7500
0.2500 0.7500 0.2500
0.7500 0.2500 0.2500
0.7500 0.7500 0.7500
0.0000 0.0000 0.5000
0.0000 0.5000 0.0000
0.5000 0.0000 0.0000
0.5000 0.5000 0.5000

---

Record 5
DyZnGa | OQMD via LeMat-Bulk | GGA-PBE | relaxed; total moment = 0.01 μB per cell; calculated total energy = -3.553 eV per atom
1.0
4.4137 0.0000 0.0000
-2.2069 3.8224 0.0000
0.0000 0.0000 7.1433
Dy Zn Ga
2 2 2
Direct
0.0000 0.0000 0.0000
0.0000 0.0000 0.5000
0.3333 0.6667 0.2861
0.6667 0.3333 0.7861
0.3333 0.6667 0.7181
0.6667 0.3333 0.2181

---

Record 6
DyMgAlPd | OQMD via LeMat-Bulk | GGA-PBE | relaxed; total moment = 0.18 μB per cell; calculated total energy = -3.581 eV per atom; E above lowest polymorph = 235 meV per atom
1.0
6.5475 0.0000 0.0000
0.0000 5.0747 0.0000
0.0000 0.0000 15.3523
Dy Mg Al Pd
4 4 4 4
Direct
0.0000 0.0000 0.0000
0.0000 0.0000 0.2361
0.0000 0.5000 0.5000
0.0000 0.5000 0.7361
0.2678 0.0000 0.5619
0.2678 0.5000 0.0619
0.7322 0.0000 0.5619
0.7322 0.5000 0.0619
0.3094 0.0000 0.7438
0.3094 0.5000 0.2438
0.6906 0.0000 0.7438
0.6906 0.5000 0.2438
0.0000 0.0000 0.4302
0.0000 0.0000 0.8266
0.0000 0.5000 0.3266
0.0000 0.5000 0.9302

---

Record 7
BaHgPdPb2 | OQMD via LeMat-Bulk | GGA-PBE | relaxed; calculated total energy = -3.404 eV per atom
1.0
5.0278 0.0000 0.0000
0.0000 5.0278 0.0000
0.0000 0.0000 11.6253
Ba Hg Pd Pb
2 2 2 4
Direct
0.2500 0.2500 0.2481
0.7500 0.7500 0.7519
0.2500 0.7500 0.5000
0.7500 0.2500 0.5000
0.2500 0.2500 0.8867
0.7500 0.7500 0.1133
0.2500 0.2500 0.6534
0.2500 0.7500 0.0000
0.7500 0.2500 0.0000
0.7500 0.7500 0.3466

---

Record 8
CsPd3Se5 | OQMD via LeMat-Bulk | GGA-PBE | relaxed; calculated total energy = -4.147 eV per atom
1.0
6.0983 0.0000 0.0000
-3.0491 5.2813 0.0000
0.0000 0.0000 7.2690
Cs Pd Se
1 3 5
Direct
0.0000 0.0000 0.0000
0.0000 0.5000 0.5000
0.5000 0.0000 0.5000
0.5000 0.5000 0.5000
0.0000 0.0000 0.5000
0.3333 0.6667 0.2578
0.3333 0.6667 0.7422
0.6667 0.3333 0.2578
0.6667 0.3333 0.7422